No. 1
The following is a PBE calculation of a relaxed Co2TcTe crystal, from the Open Quantum Materials Database.

abc: 6.096 6.096 6.096
angles: 90.00 90.00 90.00
Space group F-43m (No. 216)
Asymmetric unit:
Co1 0.000 0.000 0.000
Co2 0.250 0.250 0.250
Tc1 0.000 0.000 0.500
Te1 0.250 0.250 0.750

total DFT energy (no corrections): -6.58 eV per atom
calculated volume: 56.6 Å³/f.u.

No. 2
The following is a PBE calculation of a relaxed Fe crystal, from the Open Quantum Materials Database.

abc: 2.6302 2.6302 5.6541
angles: 90.00 90.00 120.00
Space group R-3m (No. 166, hexagonal axes)
Asymmetric unit:
Fe1 0.0000 0.0000 0.0000

offset from the most stable computed form: 17.0 kJ/mol of atoms
total DFT energy (no corrections): -8.13 eV per atom
calculated volume: 11.3 Å³/f.u.
energy of formation from the pure elements: 175.7 meV per atom

No. 3
The following is a PBE calculation of a relaxed LaTbBe crystal, from the Open Quantum Materials Database.

abc: 6.880 6.880 6.880
angles: 90.00 90.00 90.00
Space group F-43m (No. 216)
Asymmetric unit:
La1 0.000 0.000 0.000
Tb1 0.250 0.250 0.250
Be1 0.250 0.250 0.750

total DFT energy (no corrections): -3.54 eV per atom
calculated volume: 81.4 Å³/f.u.

No. 4
The following is a PBE calculation of a relaxed Cu2Ag3 crystal, from the Open Quantum Materials Database.

abc: 6.860 2.848 8.222
angles: 90.00 103.75 90.00
Space group Pm (No. 6)
Asymmetric unit:
Cu1 0.000 0.000 0.000
Cu2 0.089 0.500 0.290
Cu3 0.619 0.000 0.808
Cu4 0.895 0.500 0.726
Ag1 0.184 0.000 0.597
Ag2 0.299 0.500 0.901
Ag3 0.386 0.000 0.211
Ag4 0.507 0.500 0.524
Ag5 0.708 0.500 0.094
Ag6 0.805 0.000 0.408

offset from the most stable computed form: 5.3 kJ/mol of atoms
total DFT energy (no corrections): -3.09 eV per atom
calculated volume: 78.0 Å³/f.u.
energy of formation from the pure elements: 87.0 meV per atom